1.
This record from Alexandria describes crystalline Cu2IBr3 at its relaxed geometry. The functional is PBE-GGA.

Cell lengths 8.089, 8.089, 12.026 Å; angles 97.20, 97.20, 29.42 degrees
Element x y z (fractional)
Cu (0.064, 0.064, 0.417)
Cu (0.320, 0.320, 0.861)
Cu (0.680, 0.680, 0.139)
Cu (0.936, 0.936, 0.583)
I (0.359, 0.359, 0.656)
I (0.641, 0.641, 0.344)
Br (0.090, 0.090, 0.619)
Br (0.263, 0.263, 0.146)
Br (0.424, 0.424, 0.031)
Br (0.576, 0.576, 0.969)
Br (0.737, 0.737, 0.854)
Br (0.910, 0.910, 0.381)

Summary:
Its formation energy from raw total energies is -18.2 kJ per mole of atoms. Its symmetry is C2/m (12). The calculation puts the excess energy over the best structure of this formula in the dataset at 0.018 eV/atom.

2.
This record from Alexandria describes crystalline Cu2IBr2 at its relaxed geometry. The functional is PBE-GGA.

Cell lengths 7.470, 7.470, 6.916 Å; angles 109.62, 109.62, 109.07 degrees
Element x y z (fractional)
Cu (0.185, 0.302, 0.078)
Cu (0.302, 0.185, 0.578)
Cu (0.698, 0.815, 0.422)
Cu (0.815, 0.698, 0.922)
I (0.076, 0.924, 0.750)
I (0.924, 0.076, 0.250)
Br (0.000, 0.500, 0.000)
Br (0.500, 0.000, 0.500)
Br (0.500, 0.500, 0.000)
Br (0.500, 0.500, 0.500)

Summary:
Its formation energy from raw total energies is -12.5 kJ per mole of atoms. Its symmetry is C2/c (15). The calculation puts the excess energy over the best structure of this formula in the dataset at 0.086 eV/atom.

3.
This record from Alexandria describes crystalline CuI2Br at its relaxed geometry. The functional is PBE-GGA.

Cell lengths 7.275, 7.275, 7.275 Å; angles 117.38, 117.38, 94.61 degrees
Element x y z (fractional)
Cu (0.000, 0.000, 0.000)
Cu (0.750, 0.250, 0.500)
I (0.038, 0.125, 0.413)
I (0.375, 0.962, 0.087)
I (0.712, 0.625, 0.587)
I (0.875, 0.288, 0.913)
Br (0.250, 0.750, 0.500)
Br (0.500, 0.500, 0.000)

Summary:
Its formation energy from raw total energies is 13.1 kJ per mole of atoms. Its symmetry is I-42d (122). The calculation puts the excess energy over the best structure of this formula in the dataset at 0.268 eV/atom.